An optimized crystal structure of IrWCF2. Source: Alexandria via LeMat-Bulk, functional PBE with a Hubbard U.

a = 4.3891 Å, b = 4.3891 Å, c = 3.8673 Å
α = 90.00°, β = 90.00°, γ = 90.00°
Last column: nearest neighbours and their distance in Å.
Space group P4/mmm (No. 123)
Inequivalent atoms, fractional coordinates:
Ir: 0.0000 0.0000 0.0000 x1  2 C 1.93
W: 0.5000 0.5000 0.5000 x1  8 F 2.92, 4 C 3.10
C: 0.0000 0.0000 0.5000 x1  2 Ir 1.93
F: 0.0000 0.5000 0.0000 x2  2 Ir 2.19

Energy: -5.1374 eV/atom
Crystal system: tetragonal